{
  "formula": "NaPaWN4",
  "functional": "GGA-PBE",
  "state": "relaxed",
  "lattice": [[-1.897, -5.507, -1.453], [3.235, -2.255, 4.322], [-4.584, 3.050, 5.023]],
  "species": ["Pa", "W", "Na", "N", "N", "N", "N", "N", "N", "N", "Na", "N", "Pa", "W"],
  "frac_coords": [[0.225, 0.250, 0.547], [0.780, 0.250, 0.687], [0.658, 0.250, 0.143], [0.455, 0.750, 0.195], [0.014, 0.507, 0.318], [0.014, 0.993, 0.318], [0.445, 0.750, 0.555], [0.555, 0.250, 0.445], [0.545, 0.250, 0.805], [0.986, 0.493, 0.682], [0.342, 0.750, 0.857], [0.986, 0.007, 0.682], [0.775, 0.750, 0.453], [0.220, 0.750, 0.313]],
  "total_magnetization_mub_per_fu": 0.0,
  "formation_energy_uncorrected_ev_per_atom": -0.802,
  "crystal_system": "monoclinic"
}

---

{
  "formula": "V6RhC",
  "functional": "GGA-PBE",
  "state": "relaxed",
  "lattice": [[4.238, -0.203, -1.187], [1.800, 4.582, -1.110], [1.254, 1.258, 4.643]],
  "species": ["V", "Rh", "V", "V", "V", "C", "V", "V"],
  "frac_coords": [[0.198, 0.069, 0.350], [0.500, 0.500, 0.500], [0.938, 0.651, 0.204], [0.802, 0.931, 0.650], [0.423, 0.756, 0.908], [0.000, 0.000, 0.000], [0.577, 0.244, 0.092], [0.062, 0.349, 0.796]],
  "e_tot_ev_per_cell": -73.04,
  "total_magnetization_mub_per_fu": 0.0,
  "crystal_system": "triclinic"
}